No. 1
! MgIn2CoHg | the Alexandria database | PBE | relaxed; values from VASP
&SYSTEM
  ibrav = 0, nat = 5, ntyp = 4
/
ATOMIC_SPECIES
Hg 200.59 Hg.upf
Mg 24.30 Mg.upf
Co 58.93 Co.upf
In 114.82 In.upf
CELL_PARAMETERS angstrom
-2.216 -4.183 1.440
1.512 0.798 4.643
-4.158 2.521 0.921
ATOMIC_POSITIONS crystal
Hg 0.500 0.500 0.500
Mg 0.000 0.000 0.500
Co 0.000 0.000 0.000
In 0.000 0.500 0.000
In 0.500 0.000 0.000
! Symmetry: P4/mmm (123)
! Calculated volume in Å³/atom: 24.23
! D(E_F) in states/eV/f.u.: 2.5
! ΔE_f in eV/atom: 0.056
! ρ in g/cm³: 7.04

***

No. 2
! Mn2InCoHg | the Alexandria database | PBE | relaxed; values from VASP
&SYSTEM
  ibrav = 0, nat = 5, ntyp = 4
/
ATOMIC_SPECIES
Hg 200.59 Hg.upf
Co 58.93 Co.upf
In 114.82 In.upf
Mn 54.94 Mn.upf
CELL_PARAMETERS angstrom
5.005 0.000 0.000
0.000 4.701 0.000
0.000 0.000 5.005
ATOMIC_POSITIONS crystal
Hg 0.500 0.500 0.500
Co 0.000 0.500 0.000
In 0.000 0.000 0.000
Mn 0.500 0.000 0.000
Mn 0.000 0.000 0.500
! Symmetry: P4/mmm (123)
! Calculated volume in Å³/atom: 23.55
! D(E_F) in states/eV/f.u.: 6.1
! ΔE_f in eV/atom: 1.281
! ρ in g/cm³: 6.83